The following is a DFT calculation (PBEsol) of an optimized crystal structure of TcAg2Pb.

Values from the calculation:
N(E_F), states/eV/cell: 2.104
Calculated volume, Å³ per cell: 72
M_tot, μB/f.u.: 0.00
Raw total energy, eV per atom: -4.95
Mass density, g cm⁻³: 12.00

Lattice parameters (Å, degrees): 2.9667 4.7262 5.8363 113.52 104.17 91.33
Element x y z (fractional)
Pb (0.5000, 0.0000, 0.0000)
Tc (0.0000, 0.5000, 0.0000)
Ag (0.5000, 0.5000, 0.5000)
Ag (0.0000, 0.0000, 0.5000)

The following is a DFT calculation (PBEsol) of an optimized crystal structure of Tc2AgPb.

Values from the calculation:
N(E_F), states/eV/cell: 3.698
Calculated volume, Å³ per cell: 67
M_tot, μB/f.u.: 0.00
Raw total energy, eV per atom: -6.81
Mass density, g cm⁻³: 12.60

Lattice parameters (Å, degrees): 3.8981 4.4155 4.8969 116.80 113.45 90.00
Element x y z (fractional)
Pb (0.2557, 0.7557, 0.5114)
Tc (0.0225, 0.0225, 0.0449)
Tc (0.7299, 0.2299, 0.4597)
Ag (0.4920, 0.4920, 0.9840)

calculated volume of number 1 (TcAg2Pb)?
72 Å³ per cell